#P
# TaTlB2 (PBE, relaxed)
data_TaTlB2
_chemical_formula_sum 'Ta4 Tl4 B8'
_cell_length_a 5.9646
_cell_length_b 5.9646
_cell_length_c 7.2135
_cell_angle_alpha 90.00
_cell_angle_beta 90.00
_cell_angle_gamma 90.00
_space_group_name_H-M_alt 'I -4 2 d'
_space_group_IT_number 122
_space_group_name_Hall 'I -4 2bw'
loop_
_atom_site_label
_atom_site_type_symbol
_atom_site_fract_x
_atom_site_fract_y
_atom_site_fract_z
Ta1 Ta 0.0000 0.0000 0.0000
Tl1 Tl 0.0000 0.0000 0.5000
B1 B 0.2299 0.2500 0.1250
# D(E_F): 7.05 states/eV/cell
# volume: 256.6 Å³ per cell


#Q
# TaTlB2 (PBE, relaxed)
data_TaTlB2
_chemical_formula_sum 'Ta4 Tl4 B8'
_cell_length_a 6.0246
_cell_length_b 6.0246
_cell_length_c 6.0246
_cell_angle_alpha 90.00
_cell_angle_beta 90.00
_cell_angle_gamma 90.00
_space_group_name_H-M_alt 'F m -3 m'
_space_group_IT_number 225
_space_group_name_Hall '-F 4 2 3'
loop_
_atom_site_label
_atom_site_type_symbol
_atom_site_fract_x
_atom_site_fract_y
_atom_site_fract_z
Ta1 Ta 0.0000 0.0000 0.0000
Tl1 Tl 0.0000 0.0000 0.5000
B1 B 0.2500 0.2500 0.2500
# D(E_F): 8.50 states/eV/cell
# volume: 218.7 Å³ per cell


Verdict on stability: #P comes out on top.


#P
# TaTlB3 (PBE, relaxed)
data_TaTlB3
_chemical_formula_sum 'Ta1 Tl1 B3'
_cell_length_a 4.3148
_cell_length_b 4.3148
_cell_length_c 4.3148
_cell_angle_alpha 90.00
_cell_angle_beta 90.00
_cell_angle_gamma 90.00
_space_group_name_H-M_alt 'P m -3 m'
_space_group_IT_number 221
_space_group_name_Hall '-P 4 2 3'
loop_
_atom_site_label
_atom_site_type_symbol
_atom_site_fract_x
_atom_site_fract_y
_atom_site_fract_z
Ta1 Ta 0.0000 0.0000 0.0000
Tl1 Tl 0.5000 0.5000 0.5000
B1 B 0.0000 0.5000 0.5000
# D(E_F): 4.73 states/eV/cell
# volume: 80.3 Å³ per cell


#Q
# TaTlB3 (PBE, relaxed)
data_TaTlB3
_chemical_formula_sum 'Ta1 Tl1 B3'
_cell_length_a 4.4405
_cell_length_b 4.4405
_cell_length_c 4.4405
_cell_angle_alpha 90.00
_cell_angle_beta 90.00
_cell_angle_gamma 90.00
_space_group_name_H-M_alt 'P m -3 m'
_space_group_IT_number 221
_space_group_name_Hall '-P 4 2 3'
loop_
_atom_site_label
_atom_site_type_symbol
_atom_site_fract_x
_atom_site_fract_y
_atom_site_fract_z
Ta1 Ta 0.0000 0.0000 0.0000
Tl1 Tl 0.5000 0.5000 0.5000
B1 B 0.0000 0.0000 0.5000
# D(E_F): 5.78 states/eV/cell
# volume: 87.6 Å³ per cell


Verdict on stability: #Q comes out on top.